Density functional theory data (GGA-PBE) for crystalline Tb6PrHoTm2 at its relaxed geometry.

Formation energy from the elements (eV per atom): 0.12
ρ (Mg/m³): 8.2
Space-group type: C2/c (15)

a = 9.619 Å, b = 8.754 Å, c = 8.754 Å
α = 117.41°, β = 94.16°, γ = 94.16°
Positions (direct):
Tb1 0.444 0.247 0.883
Tb2 0.056 0.117 0.753
Tb3 0.556 0.753 0.117
Tb4 0.681 0.025 0.572
Tb5 0.121 0.706 0.495
Tb6 0.181 0.572 0.025
Tb7 0.819 0.428 0.975
Tb8 0.319 0.975 0.428
Tb9 0.379 0.505 0.294
Tb10 0.944 0.883 0.247
Tb11 0.621 0.495 0.706
Tb12 0.879 0.294 0.505
Pr1 0.750 0.595 0.405
Pr2 0.250 0.405 0.595
Tm1 0.455 0.807 0.705
Tm2 0.045 0.295 0.193
Tm3 0.955 0.705 0.807
Tm4 0.545 0.193 0.295
Ho1 0.250 0.974 0.026
Ho2 0.750 0.026 0.974